NaAgHgAs PBE relaxed; space-group type = F-43m, No. 216; mass density = 8.102 g cm⁻³; volume = 20.8 Å³/atom; formation enthalpy at 0 K = -0.02 eV per atom
1.0
4.902 0.000 0.000
2.451 4.245 0.000
2.451 1.415 4.002
Na As Hg Ag
1 1 1 1
Direct
0.750 0.750 0.750
0.500 0.500 0.500
0.000 0.000 0.000
0.250 0.250 0.250